{
  "formula": "Tm5Te3Os",
  "functional": "PBE",
  "state": "optimized geometry",
  "lattice_angstrom": [[-2.912, -7.970, -1.421], [6.621, 3.040, -4.576], [2.384, -1.328, 2.566]],
  "species": ["Tm", "Tm", "Tm", "Tm", "Tm", "Te", "Te", "Te", "Os"],
  "frac_coords": [[0.229, 0.000, 0.500], [0.667, 0.333, 0.500], [0.000, 0.229, 0.500], [0.333, 0.667, 0.500], [0.771, 0.771, 0.500], [0.566, 0.000, 0.000], [0.000, 0.566, 0.000], [0.434, 0.434, 0.000], [0.000, 0.000, 0.000]],
  "total_magnetization_mub_per_cell": 0.4,
  "final_energy_ev_per_atom": -5.324,
  "space_group": "P-62m, No. 189",
  "mass_density_g_cm3": 9.80
}

=====

{
  "formula": "TeOsW",
  "functional": "PBE",
  "state": "optimized geometry",
  "lattice_angstrom": [[3.025, -2.928, -1.254], [1.906, -2.602, 2.981], [-0.930, -4.292, 0.085]],
  "species": ["Te", "W", "Os"],
  "frac_coords": [[0.250, 0.250, 0.250], [0.750, 0.750, 0.750], [0.000, 0.000, 0.000]],
  "total_magnetization_mub_per_cell": 0.0,
  "final_energy_ev_per_atom": -8.426,
  "space_group": "F-43m, No. 216",
  "mass_density_g_cm3": 13.90
}

=====

{
  "formula": "TeOsW",
  "functional": "PBE",
  "state": "optimized geometry",
  "lattice_angstrom": [[-3.940, -3.862, 6.898], [0.196, -3.802, 7.970], [-2.211, -0.319, 8.546]],
  "species": ["Os", "Os", "W", "W", "Te", "Te"],
  "frac_coords": [[0.552, 0.552, 0.552], [0.448, 0.448, 0.448], [0.852, 0.852, 0.852], [0.148, 0.148, 0.148], [0.272, 0.272, 0.272], [0.728, 0.728, 0.728]],
  "total_magnetization_mub_per_cell": 0.0,
  "final_energy_ev_per_atom": -8.721,
  "space_group": "R-3m, No. 166",
  "mass_density_g_cm3": 12.42
}

=====

{
  "formula": "Te3Os2W",
  "functional": "PBE",
  "state": "optimized geometry",
  "lattice_angstrom": [[-3.032, -1.828, -2.329], [2.787, -2.888, -1.361], [-1.624, -4.067, 5.305]],
  "species": ["Os", "Os", "Te", "Te", "Te", "W"],
  "frac_coords": [[0.000, 0.500, 0.784], [0.500, 0.000, 0.216], [0.000, 0.500, 0.375], [0.500, 0.000, 0.625], [0.500, 0.500, 0.000], [0.000, 0.000, 0.000]],
  "total_magnetization_mub_per_cell": 0.0,
  "final_energy_ev_per_atom": -6.892,
  "space_group": "P-4m2, No. 115",
  "mass_density_g_cm3": 12.73
}

=====

{
  "formula": "Y3Zr3Te2Os",
  "functional": "PBE",
  "state": "optimized geometry",
  "lattice_angstrom": [[-0.690, -7.923, 1.668], [5.784, 4.423, 3.607], [-2.372, 0.801, 2.822]],
  "species": ["Y", "Y", "Y", "Zr", "Zr", "Zr", "Te", "Te", "Os"],
  "frac_coords": [[0.751, 0.000, 0.500], [0.249, 0.249, 0.500], [0.000, 0.751, 0.500], [0.598, 0.598, 0.000], [0.000, 0.402, 0.000], [0.402, 0.000, 0.000], [0.333, 0.667, 0.500], [0.667, 0.333, 0.500], [0.000, 0.000, 0.000]],
  "total_magnetization_mub_per_cell": 0.0,
  "final_energy_ev_per_atom": -7.399,
  "space_group": "P-62m, No. 189",
  "mass_density_g_cm3": 7.59
}

=====

{
  "formula": "Y3Zr3Te2Os",
  "functional": "PBE",
  "state": "optimized geometry",
  "lattice_angstrom": [[8.118, 0.000, 0.000], [-4.059, 7.030, 0.000], [0.000, 0.000, 3.843]],
  "species": ["Y", "Y", "Y", "Zr", "Zr", "Zr", "Te", "Te", "Os"],
  "frac_coords": [[0.000, 0.400, 0.000], [0.600, 0.600, 0.000], [0.400, 0.000, 0.000], [0.000, 0.761, 0.500], [0.239, 0.239, 0.500], [0.761, 0.000, 0.500], [0.667, 0.333, 0.500], [0.333, 0.667, 0.500], [0.000, 0.000, 0.000]],
  "total_magnetization_mub_per_cell": 0.0,
  "final_energy_ev_per_atom": -7.649,
  "space_group": "P-62m, No. 189",
  "mass_density_g_cm3": 7.46
}

=====

{
  "formula": "ZnTeOs2",
  "functional": "PBE",
  "state": "optimized geometry",
  "lattice_angstrom": [[0.753, 2.743, 3.533], [-2.970, 3.279, 0.998], [-2.578, -0.330, 3.717]],
  "species": ["Zn", "Os", "Os", "Te"],
  "frac_coords": [[0.500, 0.500, 0.500], [0.250, 0.250, 0.250], [0.000, 0.000, 0.000], [0.750, 0.750, 0.750]],
  "total_magnetization_mub_per_cell": 0.0,
  "final_energy_ev_per_atom": -5.844,
  "space_group": "F-43m, No. 216",
  "mass_density_g_cm3": 14.43
}

=====

{
  "formula": "ZnTeOs",
  "functional": "PBE",
  "state": "optimized geometry",
  "lattice_angstrom": [[0.000, 3.095, 3.095], [3.095, 0.000, 3.095], [3.095, 3.095, 0.000]],
  "species": ["Te", "Os", "Zn"],
  "frac_coords": [[0.250, 0.250, 0.250], [0.000, 0.000, 0.000], [0.750, 0.750, 0.750]],
  "total_magnetization_mub_per_cell": 0.0,
  "final_energy_ev_per_atom": -4.814,
  "space_group": "F-43m, No. 216",
  "mass_density_g_cm3": 10.73
}

=====

{
  "formula": "ZrTeOs2",
  "functional": "PBE",
  "state": "optimized geometry",
  "lattice_angstrom": [[0.000, 3.295, 3.295], [3.295, 0.000, 3.295], [3.295, 3.295, 0.000]],
  "species": ["Os", "Os", "Zr", "Te"],
  "frac_coords": [[0.000, 0.000, 0.000], [0.250, 0.250, 0.250], [0.500, 0.500, 0.500], [0.750, 0.750, 0.750]],
  "total_magnetization_mub_per_cell": 0.0,
  "final_energy_ev_per_atom": -8.007,
  "space_group": "F-43m, No. 216",
  "mass_density_g_cm3": 13.91
}

=====

{
  "formula": "Th2Os",
  "functional": "PBE",
  "state": "optimized geometry",
  "lattice_angstrom": [[-2.467, 5.092, 6.429], [4.471, 0.147, 7.304], [4.658, 6.894, 2.031]],
  "species": ["Th", "Th", "Th", "Th", "Os", "Os"],
  "frac_coords": [[0.375, 0.375, 0.875], [0.375, 0.875, 0.375], [0.875, 0.375, 0.375], [0.375, 0.375, 0.375], [0.500, 0.500, 0.500], [0.250, 0.250, 0.250]],
  "total_magnetization_mub_per_cell": 0.0,
  "final_energy_ev_per_atom": -7.516,
  "space_group": "Fd-3m, No. 227",
  "mass_density_g_cm3": 4.89
}

=====

{
  "formula": "Th7Os3",
  "functional": "PBE",
  "state": "optimized geometry",
  "lattice_angstrom": [[10.035, 0.000, 0.000], [-5.018, 8.691, 0.000], [0.000, 0.000, 6.335]],
  "species": ["Th", "Th", "Th", "Th", "Th", "Th", "Th", "Th", "Th", "Th", "Th", "Th", "Th", "Th", "Os", "Os", "Os", "Os", "Os", "Os"],
  "frac_coords": [[0.080, 0.540, 0.300], [0.920, 0.460, 0.800], [0.540, 0.080, 0.800], [0.253, 0.126, 0.502], [0.126, 0.253, 0.002], [0.460, 0.540, 0.300], [0.460, 0.920, 0.300], [0.747, 0.874, 0.002], [0.874, 0.126, 0.502], [0.667, 0.333, 0.286], [0.333, 0.667, 0.786], [0.540, 0.460, 0.800], [0.126, 0.874, 0.002], [0.874, 0.747, 0.502], [0.813, 0.187, 0.050], [0.813, 0.626, 0.050], [0.626, 0.813, 0.550], [0.187, 0.813, 0.550], [0.187, 0.374, 0.550], [0.374, 0.187, 0.050]],
  "total_magnetization_mub_per_cell": 0.0,
  "final_energy_ev_per_atom": -8.893,
  "space_group": "P6_3mc, No. 186",
  "mass_density_g_cm3": 13.19
}

=====

{
  "formula": "ThUOs",
  "functional": "PBE",
  "state": "optimized geometry",
  "lattice_angstrom": [[0.090, -4.426, 1.937], [-1.506, -0.681, 4.541], [-4.136, -2.351, 0.847]],
  "species": ["Th", "Os", "U"],
  "frac_coords": [[0.250, 0.250, 0.250], [0.000, 0.000, 0.000], [0.750, 0.750, 0.750]],
  "total_magnetization_mub_per_cell": 3.3,
  "final_energy_ev_per_atom": -9.760,
  "space_group": "F-43m, No. 216",
  "mass_density_g_cm3": 13.74
}

=====

{
  "formula": "ThZnOs",
  "functional": "PBE",
  "state": "optimized geometry",
  "lattice_angstrom": [[0.000, 3.261, 3.261], [3.261, 0.000, 3.261], [3.261, 3.261, 0.000]],
  "species": ["Th", "Os", "Zn"],
  "frac_coords": [[0.250, 0.250, 0.250], [0.000, 0.000, 0.000], [0.750, 0.750, 0.750]],
  "total_magnetization_mub_per_cell": 0.0,
  "final_energy_ev_per_atom": -6.667,
  "space_group": "F-43m, No. 216",
  "mass_density_g_cm3": 11.68
}

=====

{
  "formula": "ThZrOs",
  "functional": "PBE",
  "state": "optimized geometry",
  "lattice_angstrom": [[-3.633, 0.969, 2.929], [-1.325, 4.518, 0.740], [-4.129, 1.593, -1.770]],
  "species": ["Zr", "Th", "Os"],
  "frac_coords": [[0.750, 0.750, 0.750], [0.250, 0.250, 0.250], [0.000, 0.000, 0.000]],
  "total_magnetization_mub_per_cell": 0.1,
  "final_energy_ev_per_atom": -9.178,
  "space_group": "F-43m, No. 216",
  "mass_density_g_cm3": 11.14
}

=====

{
  "formula": "ThZrOs",
  "functional": "PBE",
  "state": "optimized geometry",
  "lattice_angstrom": [[-0.141, 3.980, 2.470], [1.234, -0.004, 4.521], [3.986, 2.067, 1.342]],
  "species": ["Zr", "Th", "Os"],
  "frac_coords": [[0.250, 0.250, 0.250], [0.000, 0.000, 0.000], [0.750, 0.750, 0.750]],
  "total_magnetization_mub_per_cell": 0.0,
  "final_energy_ev_per_atom": -8.274,
  "space_group": "F-43m, No. 216",
  "mass_density_g_cm3": 11.72
}

=====

{
  "formula": "TlOs",
  "functional": "PBE",
  "state": "optimized geometry",
  "lattice_angstrom": [[-0.003, -1.989, -2.352], [1.693, -0.578, 2.500], [-3.441, -2.160, 1.831]],
  "species": ["Tl", "Os"],
  "frac_coords": [[0.333, 0.667, 0.250], [0.667, 0.333, 0.750]],
  "total_magnetization_mub_per_cell": 0.1,
  "final_energy_ev_per_atom": -5.643,
  "space_group": "P-6m2, No. 187",
  "mass_density_g_cm3": 17.93
}

=====

{
  "formula": "Tl2Os",
  "functional": "PBE",
  "state": "optimized geometry",
  "lattice_angstrom": [[0.690, -8.284, 1.034], [6.159, -3.132, 4.736], [-1.768, -3.456, 7.423]],
  "species": ["Os", "Os", "Tl", "Tl", "Tl", "Tl"],
  "frac_coords": [[0.500, 0.500, 0.500], [0.250, 0.250, 0.250], [0.375, 0.375, 0.875], [0.875, 0.375, 0.375], [0.375, 0.875, 0.375], [0.375, 0.375, 0.375]],
  "total_magnetization_mub_per_cell": 0.0,
  "final_energy_ev_per_atom": -3.939,
  "space_group": "Fd-3m, No. 227",
  "mass_density_g_cm3": 4.79
}

=====

{
  "formula": "Tl2Os",
  "functional": "PBE",
  "state": "optimized geometry",
  "lattice_angstrom": [[1.985, -5.457, 1.088], [3.217, -1.063, 4.840], [-2.296, -3.148, 4.441]],
  "species": ["Tl", "Tl", "Tl", "Tl", "Os", "Os"],
  "frac_coords": [[0.625, 0.125, 0.625], [0.125, 0.625, 0.625], [0.625, 0.625, 0.625], [0.625, 0.625, 0.125], [0.250, 0.250, 0.250], [0.000, 0.000, 0.000]],
  "total_magnetization_mub_per_cell": 4.9,
  "final_energy_ev_per_atom": -3.466,
  "space_group": "Fd-3m, No. 227",
  "mass_density_g_cm3": 13.64
}

=====

{
  "formula": "UTlOs",
  "functional": "PBE",
  "state": "optimized geometry",
  "lattice_angstrom": [[0.000, 3.363, 3.363], [3.363, 0.000, 3.363], [3.363, 3.363, 0.000]],
  "species": ["Os", "U", "Tl"],
  "frac_coords": [[0.000, 0.000, 0.000], [0.250, 0.250, 0.250], [0.500, 0.500, 0.500]],
  "total_magnetization_mub_per_cell": 1.4,
  "final_energy_ev_per_atom": -7.168,
  "space_group": "F-43m, No. 216",
  "mass_density_g_cm3": 13.81
}

=====

{
  "formula": "UTlOs",
  "functional": "PBE",
  "state": "optimized geometry",
  "lattice_angstrom": [[0.000, 3.298, 3.298], [3.298, 0.000, 3.298], [3.298, 3.298, 0.000]],
  "species": ["Os", "U", "Tl"],
  "frac_coords": [[0.000, 0.000, 0.000], [0.750, 0.750, 0.750], [0.250, 0.250, 0.250]],
  "total_magnetization_mub_per_cell": 2.1,
  "final_energy_ev_per_atom": -7.811,
  "space_group": "F-43m, No. 216",
  "mass_density_g_cm3": 14.64
}